Record 1
Hf3AgC: relaxed, PBE.

Unit cell a=6.1402 b=6.1402 c=9.0200 alpha=90.00 beta=90.00 gamma=148.52
Closest atoms and distances in Å follow each position.
Fractional coordinates of all 10 atoms:
Hf  0.0454  0.9546  0.7500  2 C 2.32
Hf  0.3757  0.6243  0.5496  2 C 2.27
Hf  0.3757  0.6243  0.9504  2 C 2.27
Hf  0.6243  0.3757  0.0496  2 C 2.27
Hf  0.6243  0.3757  0.4504  2 C 2.27
Hf  0.9546  0.0454  0.2500  2 C 2.32
Ag  0.2531  0.7469  0.2500  8 Hf 2.89-3.07
Ag  0.7469  0.2531  0.7500  8 Hf 2.89-3.07
C  0.0000  0.0000  0.0000  6 Hf 2.27-2.32
C  0.0000  0.0000  0.5000  6 Hf 2.27-2.32

Properties
As for the symmetry: Cmcm (63). The energy above the most stable polymorph in this dataset comes out at 0.0 kJ/mol of atoms. The calculation puts the formation energy at -432 meV/atom.

Record 2
HfNbAgC2: relaxed, PBE.

Unit cell a=4.0779 b=4.0779 c=5.2047 alpha=90.00 beta=90.00 gamma=90.00
Closest atoms and distances in Å follow each position.
Fractional coordinates of all 5 atoms:
Hf  0.0000  0.0000  0.0000  2 Ag 2.60, 4 Nb 2.88
Nb  0.5000  0.5000  0.0000  4 Hf 2.88
Ag  0.0000  0.0000  0.5000  4 C 2.04
C  0.0000  0.5000  0.5000  2 Ag 2.04
C  0.5000  0.0000  0.5000  2 Ag 2.04

Properties
As for the symmetry: P4/mmm (123). The calculation puts the formation energy at 2525 meV/atom.

Record 3
HfAg2CS: relaxed, PBE.

Unit cell a=4.2520 b=4.2520 c=4.6106 alpha=90.00 beta=90.00 gamma=90.00
Closest atoms and distances in Å follow each position.
Fractional coordinates of all 5 atoms:
Hf  0.0000  0.0000  0.0000  2 C 2.31
Ag  0.0000  0.5000  0.5000  2 C 2.13
Ag  0.5000  0.0000  0.5000  2 C 2.13
C  0.0000  0.0000  0.5000  4 Ag 2.13, 2 Hf 2.31
S  0.5000  0.5000  0.0000  4 Hf 3.01, 8 Ag 3.14

Properties
As for the symmetry: P4/mmm (123). The calculation puts the formation energy without anion corrections at 0.260 eV per atom.

Record 4
Hf2ScAgC: relaxed, PBE.

Unit cell a=4.4886 b=4.4886 c=4.4962 alpha=90.00 beta=90.00 gamma=90.00
Closest atoms and distances in Å follow each position.
Fractional coordinates of all 5 atoms:
Hf  0.0000  0.5000  0.0000  2 C 2.24
Hf  0.5000  0.0000  0.0000  2 C 2.24
Sc  0.0000  0.0000  0.5000  2 C 2.25
Ag  0.5000  0.5000  0.5000  4 Sc 3.17, 8 Hf 3.18
C  0.0000  0.0000  0.0000  4 Hf 2.24, 2 Sc 2.25

Properties
As for the symmetry: P4/mmm (123). The calculation puts the formation energy at -344 meV/atom.

Record 5
HfSc2AgC: relaxed, PBE.

Unit cell a=4.5275 b=4.5275 c=4.4742 alpha=90.00 beta=90.00 gamma=90.00
Closest atoms and distances in Å follow each position.
Fractional coordinates of all 5 atoms:
Hf  0.0000  0.0000  0.0000  2 C 2.24
Sc  0.0000  0.5000  0.5000  2 C 2.26
Sc  0.5000  0.0000  0.5000  2 C 2.26
Ag  0.5000  0.5000  0.0000  8 Sc 3.18, 4 Hf 3.20
C  0.0000  0.0000  0.5000  2 Hf 2.24, 4 Sc 2.26

Properties
As for the symmetry: P4/mmm (123). The calculation puts the formation energy at -343 meV/atom.

Record 6
HfTaAg2C: relaxed, PBE.

Unit cell a=4.3186 b=4.3186 c=4.4704 alpha=90.00 beta=90.00 gamma=90.00
Closest atoms and distances in Å follow each position.
Fractional coordinates of all 5 atoms:
Hf  0.0000  0.0000  0.0000  2 C 2.24
Ta  0.5000  0.5000  0.0000  4 Hf 3.05, 8 Ag 3.11
Ag  0.0000  0.5000  0.5000  2 C 2.16
Ag  0.5000  0.0000  0.5000  2 C 2.16
C  0.0000  0.0000  0.5000  4 Ag 2.16, 2 Hf 2.24

Properties
As for the symmetry: P4/mmm (123). The calculation puts the formation energy at 730 meV/atom.

Record 7
Hf2TiAgC: relaxed, PBE.

Unit cell a=4.4779 b=4.4779 c=4.2337 alpha=90.00 beta=90.00 gamma=90.00
Closest atoms and distances in Å follow each position.
Fractional coordinates of all 5 atoms:
Hf  0.0000  0.5000  0.0000  2 C 2.24
Hf  0.5000  0.0000  0.0000  2 C 2.24
Ti  0.0000  0.0000  0.5000  2 C 2.12
Ag  0.5000  0.5000  0.5000  8 Hf 3.08, 4 Ti 3.17
C  0.0000  0.0000  0.0000  2 Ti 2.12, 4 Hf 2.24

Properties
As for the symmetry: P4/mmm (123). The calculation puts the formation energy at -366 meV/atom.

Record 8
HfTlAg2C: relaxed, PBE.

Unit cell a=5.0679 b=5.0679 c=5.5002 alpha=90.00 beta=90.00 gamma=90.00
Closest atoms and distances in Å follow each position.
Fractional coordinates of all 5 atoms:
Hf  0.0000  0.0000  0.0000  2 Tl 2.75
Tl  0.0000  0.0000  0.5000  4 Ag 2.53, 2 Hf 2.75
Ag  0.0000  0.5000  0.5000  2 Tl 2.53
Ag  0.5000  0.0000  0.5000  2 Tl 2.53
C  0.5000  0.5000  0.0000  4 Hf 3.58, 8 Ag 3.74

Properties
As for the symmetry: P4/mmm (123). The calculation puts the formation energy at 2267 meV/atom.

Record 9
Hf2VAgC: relaxed, PBE.

Unit cell a=4.5125 b=4.5125 c=4.0158 alpha=90.00 beta=90.00 gamma=90.00
Closest atoms and distances in Å follow each position.
Fractional coordinates of all 5 atoms:
Hf  0.0000  0.5000  0.0000  2 C 2.26
Hf  0.5000  0.0000  0.0000  2 C 2.26
V  0.0000  0.0000  0.5000  2 C 2.01
Ag  0.5000  0.5000  0.5000  8 Hf 3.02, 4 V 3.19
C  0.0000  0.0000  0.0000  2 V 2.01

Properties
As for the symmetry: P4/mmm (123). The calculation puts the formation energy at -283 meV/atom.

Record 10
Ag3HgC: relaxed, PBE.

Unit cell a=5.2795 b=5.2795 c=5.2795 alpha=90.00 beta=90.00 gamma=90.00
Closest atoms and distances in Å follow each position.
Fractional coordinates of all 5 atoms:
Ag  0.0000  0.0000  0.5000  2 Hg 2.64
Ag  0.0000  0.5000  0.0000  2 Hg 2.64
Ag  0.5000  0.0000  0.0000  2 Hg 2.64
Hg  0.0000  0.0000  0.0000  6 Ag 2.64
C  0.5000  0.5000  0.5000  12 Ag 3.73

Properties
As for the symmetry: Pm-3m (221). The energy above the most stable polymorph in this dataset comes out at 120.1 kJ/mol of atoms. The calculation puts the formation energy at 1991 meV/atom.

Record 11
Ag3HgC: relaxed, PBE.

Unit cell a=4.4170 b=4.4170 c=4.4170 alpha=90.00 beta=90.00 gamma=90.00
Closest atoms and distances in Å follow each position.
Fractional coordinates of all 5 atoms:
Ag  0.0000  0.0000  0.5000  2 C 2.21
Ag  0.0000  0.5000  0.0000  2 C 2.21
Ag  0.5000  0.0000  0.0000  2 C 2.21
Hg  0.5000  0.5000  0.5000  12 Ag 3.12
C  0.0000  0.0000  0.0000  6 Ag 2.21

Properties
As for the symmetry: Pm-3m (221). The energy above the most stable polymorph in this dataset comes out at 0.0 kJ/mol of atoms. The calculation puts the formation energy at 746 meV/atom.

Record 12
AgHg3C: relaxed, PBE.

Unit cell a=5.5087 b=5.5087 c=5.5087 alpha=90.00 beta=90.00 gamma=90.00
Closest atoms and distances in Å follow each position.
Fractional coordinates of all 5 atoms:
Ag  0.0000  0.0000  0.0000  6 Hg 2.75
Hg  0.0000  0.0000  0.5000  2 Ag 2.75
Hg  0.0000  0.5000  0.0000  2 Ag 2.75
Hg  0.5000  0.0000  0.0000  2 Ag 2.75
C  0.5000  0.5000  0.5000  12 Hg 3.90

Properties
As for the symmetry: Pm-3m (221). The calculation puts the formation energy at 1511 meV/atom.

Record 13
AgHgC2: relaxed, PBE.

Unit cell a=5.9674 b=5.9674 c=5.9674 alpha=127.45 beta=127.45 gamma=77.51
Closest atoms and distances in Å follow each position.
Fractional coordinates of all 8 atoms:
Ag  0.0000  0.0000  0.0000  4 C 2.13
Ag  0.7500  0.2500  0.5000  4 C 2.13
Hg  0.2500  0.7500  0.5000  4 C 2.27
Hg  0.5000  0.5000  0.0000  4 C 2.27
C  0.1027  0.6250  0.9777  2 Ag 2.13, 2 Hg 2.27
C  0.3750  0.3527  0.4777  2 Ag 2.13, 2 Hg 2.27
C  0.6473  0.1250  0.0223  2 Ag 2.13, 2 Hg 2.27
C  0.8750  0.8973  0.5223  2 Ag 2.13, 2 Hg 2.27

Properties
As for the symmetry: I-42d (122). The calculation puts the formation energy at 2282 meV/atom.

Record 14
La6AgHg2C: relaxed, PBE.

Unit cell a=7.0289 b=7.0289 c=6.9899 alpha=103.16 beta=103.16 gamma=64.45
Closest atoms and distances in Å follow each position.
Fractional coordinates of all 10 atoms:
La  0.1275  0.6669  0.6624  1 C 2.55
La  0.1717  0.1717  0.8356  1 C 2.66
La  0.3331  0.8725  0.3376  1 C 2.55
La  0.6669  0.1275  0.6624  1 C 2.55
La  0.8283  0.8283  0.1644  1 C 2.66
La  0.8725  0.3331  0.3376  1 C 2.55
Ag  0.5000  0.5000  0.0000  2 Hg 2.96, 4 La 3.10
Hg  0.3528  0.3528  0.2808  1 Ag 2.96, 3 La 3.27
Hg  0.6472  0.6472  0.7192  1 Ag 2.96, 3 La 3.27
C  0.0000  0.0000  0.5000  6 La 2.55-2.66

Properties
As for the symmetry: C2/m (12). The calculation puts the formation energy at -226 meV/atom.

Record 15
La2AgHgC: relaxed, PBE.

Unit cell a=5.3120 b=5.3120 c=4.3162 alpha=90.00 beta=90.00 gamma=90.00
Closest atoms and distances in Å follow each position.
Fractional coordinates of all 5 atoms:
La  0.0000  0.5000  0.0000  2 C 2.66
La  0.5000  0.0000  0.0000  2 C 2.66
Ag  0.0000  0.0000  0.5000  2 C 2.16
Hg  0.5000  0.5000  0.5000  8 La 3.42, 4 Ag 3.76
C  0.0000  0.0000  0.0000  2 Ag 2.16

Properties
As for the symmetry: P4/mmm (123). The calculation puts the formation energy at -105 meV/atom.

Record 16
Ag2HgCO4: relaxed, PBE.

Unit cell a=7.3055 b=7.3055 c=9.1894 alpha=127.06 beta=127.06 gamma=55.11
Closest atoms and distances in Å follow each position.
Fractional coordinates of all 16 atoms:
Ag  0.0000  0.0000  0.0000  2 O 2.16
Ag  0.0000  0.0000  0.5000  2 O 2.16
Ag  0.0000  0.5000  0.0000  2 O 2.13
Ag  0.5000  0.0000  0.5000  2 O 2.13
Hg  0.5000  0.5000  0.0000  2 O 2.05
Hg  0.5000  0.5000  0.5000  2 O 2.05
C  0.0000  0.5000  0.5000  2 O 1.17
C  0.5000  0.0000  0.0000  2 O 1.17
O  0.1062  0.6319  0.5812  1 C 1.17
O  0.1373  0.6165  0.9313  1 Hg 2.05, 2 Ag 2.13-2.16
O  0.3681  0.8938  0.9188  1 C 1.17
O  0.3835  0.8627  0.5687  1 Hg 2.05, 2 Ag 2.13-2.16
O  0.6165  0.1373  0.4313  1 Hg 2.05, 2 Ag 2.13-2.16
O  0.6319  0.1062  0.0812  1 C 1.17
O  0.8627  0.3835  0.0687  1 Hg 2.05, 2 Ag 2.13-2.16
O  0.8938  0.3681  0.4188  1 C 1.17

Properties
As for the symmetry: C2/c (15). The calculation puts the formation energy without anion corrections at -0.456 eV per atom.

Record 17
Ag2HgC2O6: relaxed, PBE.

Unit cell a=5.5922 b=5.6337 c=6.1158 alpha=67.86 beta=74.41 gamma=80.84
Closest atoms and distances in Å follow each position.
Fractional coordinates of all 11 atoms:
Ag  0.2491  0.2413  0.3617  2 O 2.11-2.19
Ag  0.7509  0.7587  0.6383  2 O 2.11-2.19
Hg  0.0000  0.5000  0.0000  2 Ag 2.75
C  0.4046  0.7804  0.2961  3 O 1.29-1.30
C  0.5954  0.2196  0.7039  3 O 1.29-1.30
O  0.1780  0.8692  0.3647  1 C 1.30
O  0.4114  0.0922  0.7316  1 C 1.29
O  0.4495  0.5690  0.2516  1 C 1.29
O  0.5505  0.4310  0.7484  1 C 1.29
O  0.5886  0.9078  0.2684  1 C 1.29
O  0.8220  0.1308  0.6353  1 C 1.30

Properties
As for the symmetry: P-1 (2). The calculation puts the formation energy without anion corrections at -0.719 eV per atom.

Record 18
RbAgHgC2: relaxed, PBE.

Unit cell a=4.6495 b=4.6495 c=5.3741 alpha=90.00 beta=90.00 gamma=90.00
Closest atoms and distances in Å follow each position.
Fractional coordinates of all 5 atoms:
Rb  0.0000  0.0000  0.0000  4 Ag 3.29, 8 C 3.55
Ag  0.5000  0.5000  0.0000  2 Hg 2.69
Hg  0.5000  0.5000  0.5000  4 C 2.32
C  0.0000  0.5000  0.5000  2 Hg 2.32
C  0.5000  0.0000  0.5000  2 Hg 2.32

Properties
As for the symmetry: P4/mmm (123). The calculation puts the formation energy at 2132 meV/atom.

Record 19
AgHgRu2C: relaxed, PBE.

Unit cell a=5.0948 b=5.0948 c=5.1306 alpha=90.00 beta=90.00 gamma=90.00
Closest atoms and distances in Å follow each position.
Fractional coordinates of all 5 atoms:
Ag  0.0000  0.0000  0.0000  2 Hg 2.57
Hg  0.0000  0.0000  0.5000  4 Ru 2.55, 2 Ag 2.57
Ru  0.0000  0.5000  0.5000  2 Hg 2.55
Ru  0.5000  0.0000  0.5000  2 Hg 2.55
C  0.5000  0.5000  0.0000  4 Ag 3.60, 8 Ru 3.62

Properties
As for the symmetry: P4/mmm (123). The calculation puts the formation energy at 3147 meV/atom.

Record 20
Sc2AgHgC: relaxed, PBE.

Unit cell a=4.5176 b=4.5176 c=4.4203 alpha=90.00 beta=90.00 gamma=90.00
Closest atoms and distances in Å follow each position.
Fractional coordinates of all 5 atoms:
Sc  0.0000  0.5000  0.0000  2 C 2.26
Sc  0.5000  0.0000  0.0000  2 C 2.26
Ag  0.0000  0.0000  0.5000  2 C 2.21
Hg  0.5000  0.5000  0.5000  8 Sc 3.16, 4 Ag 3.19
C  0.0000  0.0000  0.0000  2 Ag 2.21, 4 Sc 2.26

Properties
As for the symmetry: P4/mmm (123). The calculation puts the formation energy at -212 meV/atom.

no.,theoretical density (Mg/m³)
1,12.3
2,7.7
3,8.7
4,9.6
5,7.0
6,11.7
7,10.3
8,7.2
9,10.7
10,6.1
11,10.3
12,7.2
13,8.5
14,7.5
15,8.2
16,5.5
17,5.2
18,6.0
19,6.5
20,7.6